A relaxed Na2SrMnI6 crystal. Source: Alexandria, functional PBE.

The structure in CIF format:
```
data_Na2SrMnI6
_symmetry_space_group_name_H-M 'R 3'
_symmetry_Int_Tables_number 146
_symmetry_space_group_name_Hall 'R 3'
_cell_length_a 7.9595
_cell_length_b 7.9595
_cell_length_c 21.4816
_cell_angle_alpha 90.00
_cell_angle_beta 90.00
_cell_angle_gamma 120.00
loop_
_atom_site_label
_atom_site_type_symbol
_atom_site_fract_x
_atom_site_fract_y
_atom_site_fract_z
_atom_site_occupancy
Na1 Na 0.0000 0.0000 0.0000 1
Na2 Na 0.0000 0.0000 0.4947 1
Sr1 Sr 0.0000 0.0000 0.1913 1
Mn1 Mn 0.0000 0.0000 0.6878 1
I1 I 0.0124 0.3705 0.4281 1
I2 I 0.0428 0.6726 0.2703 1
```

Output
The value obtained for the energy is -0.248 Ry/atom. The density comes out at 4.0 g/cm³. Its uncorrected formation energy is -1.10 eV per atom. Its crystal system is trigonal.

***

A relaxed NaSrMnI5 crystal. Source: Alexandria, functional PBE.

The structure in CIF format:
```
data_NaSrMnI5
_symmetry_space_group_name_H-M 'C 1 2/c 1'
_symmetry_Int_Tables_number 15
_symmetry_space_group_name_Hall '-C 2yc'
_cell_length_a 10.682
_cell_length_b 13.033
_cell_length_c 11.717
_cell_angle_alpha 90.00
_cell_angle_beta 115.29
_cell_angle_gamma 90.00
loop_
_atom_site_label
_atom_site_type_symbol
_atom_site_fract_x
_atom_site_fract_y
_atom_site_fract_z
_atom_site_occupancy
Na1 Na 0.000 0.147 0.250 1
Sr1 Sr 0.000 0.500 0.000 1
Mn1 Mn 0.000 0.172 0.750 1
I1 I 0.000 0.388 0.250 1
I2 I 0.142 0.288 0.655 1
I3 I 0.165 0.043 0.936 1
```

Output
The value obtained for the energy is -0.262 Ry/atom. The density comes out at 3.6 g/cm³. Its uncorrected formation energy is -1.08 eV per atom. Its crystal system is monoclinic.

***

A relaxed NaTbMnI6 crystal. Source: Alexandria, functional PBE.

The structure in CIF format:
```
data_NaTbMnI6
_symmetry_space_group_name_H-M 'P -3 1 c'
_symmetry_Int_Tables_number 163
_symmetry_space_group_name_Hall '-P 3 2c'
_cell_length_a 7.5903
_cell_length_b 7.5903
_cell_length_c 14.5353
_cell_angle_alpha 90.00
_cell_angle_beta 90.00
_cell_angle_gamma 120.00
loop_
_atom_site_label
_atom_site_type_symbol
_atom_site_fract_x
_atom_site_fract_y
_atom_site_fract_z
_atom_site_occupancy
Na1 Na 0.0000 0.0000 0.0000 1
Tb1 Tb 0.3333 0.6667 0.2500 1
Mn1 Mn 0.3333 0.6667 0.7500 1
I1 I 0.0131 0.3621 0.6325 1
```

Output
The value obtained for the energy is -0.275 Ry/atom. The density comes out at 4.6 g/cm³. Its uncorrected formation energy is -1.02 eV per atom. Its crystal system is trigonal.